Crystalline SrOs2Ru at its relaxed geometry, computed with PBE.

## Properties
energy of formation from the pure elements: 1.103 eV per atom
theoretical density: 11.77 g/cm³
distance to the lowest polymorph of the same formula: 497.4 meV per atom

a = 7.6474 Å, b = 7.6474 Å, c = 5.4899 Å
α = 90.00°, β = 90.00°, γ = 90.00°
Last column: nearest neighbours and their distance in Å.
Space group I-42d (No. 122)
Inequivalent atoms, fractional coordinates:
Sr (0.0000, 0.0000, 0.0000) (multiplicity 4)  2 Ru 2.74
Os (0.1871, 0.2500, 0.6250) (multiplicity 8)  2 Ru 2.48
Ru (0.0000, 0.0000, 0.5000) (multiplicity 4)  4 Os 2.48, 2 Sr 2.74